# 1
Ga2HgN2 after structural relaxation. Source: Alexandria, functional PBE.

Output
- E: -3.550 eV per atom
- DOS(E_F): 1.896 states/eV/f.u.
- ΔE to the lowest computed polymorph: 808 meV/atom
- Formation energy from raw total energies: 1.052 eV/atom

Unit cell a=6.7016 b=6.7016 c=2.9826 alpha=90.00 beta=90.00 gamma=90.00
Space group P4/mbm (No. 127)
Inequivalent atoms, fractional coordinates:
Ga 0.1341 0.3659 0.0000 x4
Hg 0.0000 0.0000 0.5000 x2
N 0.1389 0.6389 0.5000 x4

# 2
Ga3HgN after structural relaxation. Source: Alexandria, functional PBE.

Output
- E: -3.142 eV per atom
- DOS(E_F): 1.272 states/eV/f.u.
- ΔE to the lowest computed polymorph: 0 meV/atom
- Formation energy from raw total energies: 0.400 eV/atom

Unit cell a=4.4493 b=4.4493 c=4.4493 alpha=90.00 beta=90.00 gamma=90.00
Space group Pm-3m (No. 221)
Inequivalent atoms, fractional coordinates:
Ga 0.0000 0.0000 0.5000 x3
Hg 0.5000 0.5000 0.5000 x1
N 0.0000 0.0000 0.0000 x1

# 3
Ga2HgN2 after structural relaxation. Source: Alexandria, functional PBE.

Output
- E: -4.357 eV per atom
- DOS(E_F): 0.000 states/eV/f.u.
- ΔE to the lowest computed polymorph: 0 meV/atom
- Formation energy from raw total energies: 0.244 eV/atom

Unit cell a=3.7903 b=3.7903 c=14.2099 alpha=90.00 beta=90.00 gamma=90.00
Space group I4/mmm (No. 139)
Inequivalent atoms, fractional coordinates:
Ga 0.0000 0.5000 0.2500 x4
Hg 0.0000 0.0000 0.0000 x2
N 0.0000 0.0000 0.2933 x4

# 4
Ga3HgN after structural relaxation. Source: Alexandria, functional PBE.

Output
- E: -2.048 eV per atom
- DOS(E_F): 3.482 states/eV/f.u.
- ΔE to the lowest computed polymorph: 1094 meV/atom
- Formation energy from raw total energies: 1.493 eV/atom

Unit cell a=5.0960 b=5.0960 c=5.0960 alpha=90.00 beta=90.00 gamma=90.00
Space group Pm-3m (No. 221)
Inequivalent atoms, fractional coordinates:
Ga 0.0000 0.0000 0.5000 x3
Hg 0.0000 0.0000 0.0000 x1
N 0.5000 0.5000 0.5000 x1

# 5
Ga2HgN after structural relaxation. Source: Alexandria, functional PBE.

Output
- E: -3.556 eV per atom
- DOS(E_F): 1.547 states/eV/f.u.
- ΔE to the lowest computed polymorph: 0 meV/atom
- Formation energy from raw total energies: 0.114 eV/atom

Unit cell a=5.7678 b=5.7678 c=8.7853 alpha=90.00 beta=90.00 gamma=90.00
Space group I-42d (No. 122)
Inequivalent atoms, fractional coordinates:
Ga 0.1553 0.2500 0.1250 x8
Hg 0.0000 0.0000 0.5000 x4
N 0.0000 0.0000 0.0000 x4

# 6
Ga2HgN after structural relaxation. Source: Alexandria, functional PBE.

Output
- E: -2.715 eV per atom
- DOS(E_F): 3.505 states/eV/f.u.
- ΔE to the lowest computed polymorph: 842 meV/atom
- Formation energy from raw total energies: 0.956 eV/atom

Unit cell a=6.5292 b=6.5292 c=6.5292 alpha=90.00 beta=90.00 gamma=90.00
Space group Fm-3m (No. 225)
Inequivalent atoms, fractional coordinates:
Ga 0.2500 0.2500 0.2500 x8
Hg 0.0000 0.0000 0.0000 x4
N 0.0000 0.0000 0.5000 x4

# 7
Nd4GaHgN after structural relaxation. Source: Alexandria, functional PBE.

Output
- E: -5.048 eV per atom
- DOS(E_F): 2.077 states/eV/f.u.
- Formation energy from raw total energies: -0.659 eV/atom

Unit cell a=7.1128 b=14.9600 c=7.1202 alpha=90.00 beta=90.00 gamma=90.00
Space group Cmcm (No. 63)
Inequivalent atoms, fractional coordinates:
Nd 0.0000 0.0763 0.2500 x4
Nd 0.0000 0.4196 0.2500 x4
Nd 0.2500 0.2500 0.0000 x8
Ga 0.0000 0.1274 0.7500 x4
Hg 0.0000 0.3800 0.7500 x4
N 0.0000 0.2474 0.2500 x4

# 8
GaHgNO2 after structural relaxation. Source: Alexandria, functional PBE.

Output
- E: -3.263 eV per atom
- DOS(E_F): 3.623 states/eV/f.u.
- Formation energy from raw total energies: 1.051 eV/atom

Unit cell a=4.3329 b=4.3329 c=4.2373 alpha=90.00 beta=90.00 gamma=90.00
Space group P4/mmm (No. 123)
Inequivalent atoms, fractional coordinates:
Ga 0.0000 0.0000 0.0000 x1
Hg 0.5000 0.5000 0.5000 x1
N 0.5000 0.5000 0.0000 x1
O 0.0000 0.5000 0.5000 x2

- Which value of DOS(E_F) does entry 5 give?
  1.547 states/eV/f.u.

- The lowest E belongs to which entry?
  Nd4GaHgN

- Number 3 is which compound?
  Ga2HgN2